No. 1
# Zn4Cd8Sn

Crystalline Zn4Cd8Sn at its relaxed geometry (PBE, Alexandria).

Structure (CIF):
```
data_Zn4Cd8Sn
_chemical_formula_sum 'Zn4 Cd8 Sn1'
_symmetry_space_group_name_H-M 'P 1'
_symmetry_Int_Tables_number 1
_cell_length_a 5.750
_cell_length_b 7.461
_cell_length_c 7.461
_cell_angle_alpha 81.46
_cell_angle_beta 67.34
_cell_angle_gamma 67.34
loop_
_symmetry_equiv_pos_as_xyz
'x,y,z'
loop_
_atom_site_label
_atom_site_fract_x
_atom_site_fract_y
_atom_site_fract_z
Zn1 0.000 0.000 0.500
Zn2 0.500 0.000 0.500
Zn3 0.000 0.500 0.000
Zn4 0.500 0.500 0.000
Cd1 0.000 0.341 0.659
Cd2 0.000 0.659 0.341
Cd3 0.341 0.659 0.659
Cd4 0.659 0.341 0.341
Cd5 0.500 0.781 0.219
Cd6 0.500 0.219 0.781
Cd7 0.281 0.219 0.219
Cd8 0.719 0.781 0.781
Sn1 0.000 0.000 0.000
```

Calculated formation energy, meV/atom: 67.8
Density of states at the Fermi level, states/eV/f.u.: 3.42
Symmetry: I4/mmm


No. 2
# Nd8TeRh2

Crystalline Nd8TeRh2 at its relaxed geometry (PBE, Alexandria).

Structure (CIF):
```
data_Nd8TeRh2
_chemical_formula_sum 'Nd8 Te1 Rh2'
_symmetry_space_group_name_H-M 'P 1'
_symmetry_Int_Tables_number 1
_cell_length_a 6.536
_cell_length_b 7.601
_cell_length_c 7.601
_cell_angle_alpha 114.07
_cell_angle_beta 94.56
_cell_angle_gamma 94.56
loop_
_symmetry_equiv_pos_as_xyz
'x,y,z'
loop_
_atom_site_label
_atom_site_fract_x
_atom_site_fract_y
_atom_site_fract_z
Nd1 0.859 0.940 0.667
Nd2 0.859 0.667 0.940
Nd3 0.278 0.632 0.632
Nd4 0.500 0.749 0.251
Nd5 0.500 0.251 0.749
Nd6 0.722 0.368 0.368
Nd7 0.141 0.333 0.060
Nd8 0.141 0.060 0.333
Te1 0.500 0.000 0.000
Rh1 0.000 0.321 0.679
Rh2 0.000 0.679 0.321
```

Uncorrected formation energy, eV/atom: -0.42
Density of states at the Fermi level, states/eV/f.u.: 10.63
Symmetry: C2/m


No. 3
# Tl4ZnBr

Crystalline Tl4ZnBr at its relaxed geometry (PBE, Alexandria).

Structure (CIF):
```
data_Tl4ZnBr
_chemical_formula_sum 'Tl4 Zn1 Br1'
_symmetry_space_group_name_H-M 'P 1'
_symmetry_Int_Tables_number 1
_cell_length_a 6.518
_cell_length_b 6.518
_cell_length_c 6.518
_cell_angle_alpha 60.00
_cell_angle_beta 60.00
_cell_angle_gamma 60.00
loop_
_symmetry_equiv_pos_as_xyz
'x,y,z'
loop_
_atom_site_label
_atom_site_fract_x
_atom_site_fract_y
_atom_site_fract_z
Tl1 0.875 0.375 0.375
Tl2 0.375 0.375 0.875
Tl3 0.375 0.875 0.375
Tl4 0.375 0.375 0.375
Zn1 0.750 0.750 0.750
Br1 0.000 0.000 0.000
```

Uncorrected formation energy, eV/atom: 0.06
Density of states at the Fermi level, states/eV/f.u.: 2.87
Symmetry: F-43m


Raw total energy for every record listed, in sequence, given in eV/cell: -15.54; -60.56; -12.07.